No. 1
## AcMoN3 (GGA-PBE)

Data for a geometry-optimized AcMoN3 structure.

```
AcMoN3
1.0
-0.766 1.117 6.757
-3.844 -0.974 5.636
3.758 -5.176 -0.663
N Mo Ac
6 2 2
direct
0.685 0.685 0.478
0.983 0.983 0.588
0.315 0.315 0.522
0.166 0.166 0.071
0.834 0.834 0.929
0.017 0.017 0.412
0.158 0.158 0.355
0.842 0.842 0.645
0.386 0.386 0.189
0.614 0.614 0.811
```

As for the space-group type: C2/m (12). The crystal system is monoclinic. Its total energy is -8.5988 eV per atom.

---

No. 2
## DyTlCdTe3 (GGA-PBE)

Data for a geometry-optimized DyTlCdTe3 structure.

```
DyTlCdTe3
1.0
-6.392 0.630 6.033
0.666 -4.261 1.151
9.653 2.843 4.939
Te Tl Cd Dy
6 2 2 2
direct
0.066 0.250 0.860
0.744 0.250 0.441
0.555 0.250 0.855
0.256 0.750 0.559
0.445 0.750 0.145
0.934 0.750 0.140
0.255 0.250 0.281
0.745 0.750 0.719
0.077 0.250 0.612
0.923 0.750 0.388
0.313 0.750 0.860
0.687 0.250 0.140
```

The distance to the lowest polymorph of the same formula comes out at 10 meV per atom. As for the space-group type: P2_1/m (11). The crystal system is monoclinic.

---

No. 3
## WBr4 (GGA-PBE)

Data for a geometry-optimized WBr4 structure.

```
WBr4
1.0
-7.098 -0.126 1.016
-4.074 -5.672 -1.630
5.894 0.216 6.283
Br W
8 2
direct
0.762 0.288 0.307
0.280 0.280 0.814
0.181 0.181 0.154
0.720 0.720 0.186
0.819 0.819 0.846
0.288 0.762 0.307
0.238 0.712 0.693
0.712 0.238 0.693
0.300 0.700 0.000
0.700 0.300 0.000
```

As for the space-group type: C2/m (12). The crystal system is monoclinic. Its total energy is -4.3540 eV per atom.

---

No. 4
## SmNiPt (GGA-PBE)

Data for a geometry-optimized SmNiPt structure.

```
SmNiPt
1.0
0.000 3.239 3.239
3.239 0.000 3.239
3.239 3.239 0.000
Sm Ni Pt
1 1 1
direct
0.000 0.000 0.000
0.250 0.250 0.250
0.750 0.750 0.750
```

As for the formation energy: -0.1 eV/f.u. As for the space-group type: F-43m (216). The crystal system is cubic.

---

No. 5
## IrS2 (GGA-PBE)

Data for a geometry-optimized IrS2 structure.

```
IrS2
1.0
-0.486 4.027 -3.505
3.448 -2.451 -3.294
-2.832 -1.773 -1.645
S Ir
4 2
direct
0.191 0.809 0.500
0.691 0.691 0.000
0.809 0.191 0.500
0.309 0.309 0.000
0.500 0.500 0.500
0.000 0.000 0.000
```

As for the space-group type: P4_2/mnm (136). The crystal system is tetragonal. Its total energy is -5.8655 eV per atom.

---

No. 6
## ZrBeAlCo (GGA-PBE)

Data for a geometry-optimized ZrBeAlCo structure.

```
ZrBeAlCo
1.0
-1.633 -2.047 3.389
-3.114 -2.890 -0.541
0.817 -4.163 0.586
Co Zr Be Al
1 1 1 1
direct
0.750 0.750 0.750
0.250 0.250 0.250
0.500 0.500 0.500
0.000 0.000 0.000
```

The distance to the lowest polymorph of the same formula comes out at 279 meV per atom. As for the space-group type: F-43m (216). The crystal system is cubic.

---

No. 7
## Mo4AsPC2 (GGA-PBE)

Data for a geometry-optimized Mo4AsPC2 structure.

```
Mo4AsPC2
1.0
3.185 0.000 0.000
-1.593 2.758 0.000
0.000 0.000 12.006
C Mo P As
2 4 1 1
direct
0.000 0.000 0.746
0.000 0.000 0.254
0.333 0.667 0.646
0.667 0.333 0.832
0.667 0.333 0.168
0.333 0.667 0.354
0.667 0.333 0.500
0.333 0.667 0.000
```

As for the space-group type: P-6m2 (187). The crystal system is hexagonal. Its total energy is -9.0922 eV per atom.

---

No. 8
## PrAs (GGA-PBE)

Data for a geometry-optimized PrAs structure.

```
PrAs
1.0
3.900 0.000 0.000
0.000 3.900 0.000
0.000 0.000 3.297
Pr As
1 1
direct
0.000 0.000 0.000
0.500 0.500 0.500
```

As for the space-group type: P4/mmm (123). The crystal system is tetragonal. Its total energy is -5.7967 eV per atom.

---

No. 9
## RbSmPO (GGA-PBE)

Data for a geometry-optimized RbSmPO structure.

```
RbSmPO
1.0
2.953 -2.953 0.000
2.953 2.953 0.000
0.000 0.000 10.758
Rb P Sm O
2 2 2 2
direct
0.750 0.250 0.500
0.250 0.750 0.500
0.250 0.250 0.732
0.750 0.750 0.268
0.750 0.750 0.903
0.250 0.250 0.097
0.750 0.250 0.000
0.250 0.750 0.000
```

The distance to the lowest polymorph of the same formula comes out at 154 meV per atom. As for the space-group type: P4/nmm (129). The crystal system is tetragonal.

---

Ρ: 7714; 6818; 5939; 9870; 7952; 5565; 8087; 7148; 5004 (kg/m³)
Total magnetic moment: 0.00; 0.00; 0.00; 0.00; 0.02; 0.10; 0.00; 0.00; 0.04 (μB/f.u.)